Density functional theory data (PBE) for a geometry-optimized Tb2Tl4Hg structure.

Cell lengths 5.8238, 5.8238, 7.5978 Å; angles 112.54, 112.54, 90.00 degrees
Atoms (fractional coordinates):
Hg (0.0000, 0.0000, 0.0000)
Tl (0.2500, 0.7500, 0.5000)
Tl (0.7500, 0.2500, 0.5000)
Tl (0.0000, 0.5000, 0.0000)
Tl (0.5000, 0.0000, 0.0000)
Tb (0.3567, 0.3567, 0.7134)
Tb (0.6433, 0.6433, 0.2866)

formation energy from the elements: 0.00 eV per atom
space group: I4/mmm, No. 139